1.
DFT (PBE) results for an optimized crystal structure of LiZr3Ni.

uncorrected energy = -6.287 eV/atom
M_tot = 0.0 μB per formula unit
V = 119.0 Å³/cell
energy relative to the lowest polymorph listed for this composition = 0 meV per atom

a = 4.919 Å, b = 4.919 Å, c = 4.919 Å
α = 90.00°, β = 90.00°, γ = 90.00°
Atoms (fractional coordinates):
Zr 0.500 0.000 0.000
Li 0.500 0.500 0.500
Ni 0.000 0.000 0.000
Zr 0.000 0.000 0.500
Zr 0.000 0.500 0.000

2.
DFT (PBE) results for an optimized crystal structure of LiZrNi.

uncorrected energy = -5.409 eV/atom
M_tot = 0.0 μB per formula unit
V = 46.4 Å³/cell
energy relative to the lowest polymorph listed for this composition = 187 meV per atom

a = 4.260 Å, b = 4.260 Å, c = 2.950 Å
α = 90.00°, β = 90.00°, γ = 120.00°
Atoms (fractional coordinates):
Li 0.000 0.000 0.166
Zr 0.667 0.333 0.667
Ni 0.333 0.667 0.167

3.
DFT (PBE) results for an optimized crystal structure of LiZr2Ni9.

uncorrected energy = -6.191 eV/atom
M_tot = 1.8 μB per formula unit
V = 149.9 Å³/cell
energy relative to the lowest polymorph listed for this composition = 0 meV per atom

a = 3.728 Å, b = 3.728 Å, c = 10.787 Å
α = 90.00°, β = 90.00°, γ = 90.00°
Atoms (fractional coordinates):
Ni 0.500 0.000 0.851
Li 0.000 0.000 0.000
Ni 0.500 0.500 0.328
Zr 0.000 0.000 0.678
Ni 0.500 0.500 0.000
Ni 0.500 0.000 0.500
Ni 0.500 0.500 0.672
Ni 0.000 0.500 0.851
Ni 0.000 0.500 0.149
Ni 0.000 0.500 0.500
Zr 0.000 0.000 0.322
Ni 0.500 0.000 0.149

4.
DFT (PBE) results for an optimized crystal structure of Li2ZrNi.

uncorrected energy = -4.339 eV/atom
M_tot = 0.0 μB per formula unit
V = 65.6 Å³/cell
energy relative to the lowest polymorph listed for this composition = 220 meV per atom

a = 9.723 Å, b = 9.723 Å, c = 9.723 Å
α = 16.62°, β = 16.62°, γ = 16.62°
Atoms (fractional coordinates):
Li 0.986 0.986 0.986
Ni 0.250 0.250 0.250
Zr 0.750 0.750 0.750
Li 0.514 0.514 0.514

5.
DFT (PBE) results for an optimized crystal structure of LiZrNi.

uncorrected energy = -5.509 eV/atom
M_tot = 0.0 μB per formula unit
V = 95.1 Å³/cell
energy relative to the lowest polymorph listed for this composition = 87 meV per atom

a = 4.402 Å, b = 4.402 Å, c = 5.667 Å
α = 90.00°, β = 90.00°, γ = 120.00°
Atoms (fractional coordinates):
Li 0.667 0.333 0.638
Ni 0.667 0.333 0.140
Zr 0.000 0.000 0.332
Zr 0.333 0.667 0.985
Li 0.000 0.000 0.806
Ni 0.333 0.667 0.475

6.
DFT (PBE) results for an optimized crystal structure of LiNp3.

uncorrected energy = -9.743 eV/atom
M_tot = 1.4 μB per formula unit
V = 63.7 Å³/cell

a = 4.481 Å, b = 4.481 Å, c = 4.481 Å
α = 119.98°, β = 119.98°, γ = 90.03°
Atoms (fractional coordinates):
Li 0.000 0.000 0.000
Np 0.500 0.500 0.000
Np 0.250 0.750 0.500
Np 0.750 0.250 0.500

7.
DFT (PBE) results for an optimized crystal structure of Li7NpO6.

uncorrected energy = -6.168 eV/atom
energy relative to the elements, uncorrected = -2162 meV/atom
M_tot = 2.0 μB per formula unit
V = 145.9 Å³/cell

a = 5.702 Å, b = 5.702 Å, c = 6.140 Å
α = 62.34°, β = 62.34°, γ = 60.00°
Atoms (fractional coordinates):
O 0.628 0.237 0.256
Li 0.121 0.730 0.649
O 0.879 0.628 0.256
O 0.237 0.879 0.256
Li 0.500 0.121 0.649
Np 0.000 0.000 0.001
Li 0.647 0.647 0.059
Li 0.227 0.487 0.361
Li 0.730 0.500 0.649
O 0.384 0.795 0.746
Li 0.926 0.227 0.361
Li 0.487 0.926 0.361
O 0.795 0.075 0.746
O 0.075 0.384 0.746

8.
DFT (PBE) results for an optimized crystal structure of Li5NpO5.

uncorrected energy = -6.589 eV/atom
energy relative to the elements, uncorrected = -2289 meV/atom
M_tot = 2.0 μB per formula unit
V = 123.9 Å³/cell

a = 4.334 Å, b = 5.482 Å, c = 6.067 Å
α = 108.85°, β = 90.00°, γ = 113.29°
Atoms (fractional coordinates):
Li 0.000 0.000 0.500
O 0.852 0.704 0.181
Li 0.312 0.625 0.137
O 0.148 0.296 0.819
Li 0.688 0.375 0.863
Np 0.000 0.000 0.000
O 0.500 0.000 0.000
O 0.168 0.336 0.322
Li 0.287 0.574 0.659
O 0.832 0.664 0.678
Li 0.713 0.426 0.341

9.
DFT (PBE) results for an optimized crystal structure of Li2NpO5.

uncorrected energy = -7.318 eV/atom
energy relative to the elements, uncorrected = -2123 meV/atom
M_tot = 0.4 μB per formula unit
V = 195.4 Å³/cell

a = 5.168 Å, b = 7.949 Å, c = 5.864 Å
α = 66.80°, β = 63.86°, γ = 71.03°
Atoms (fractional coordinates):
Li 0.307 0.034 0.334
O 0.172 0.238 0.029
O 0.923 0.926 0.523
O 0.274 0.141 0.606
Li 0.594 0.533 0.295
O 0.628 0.426 0.023
Li 0.324 0.534 0.834
O 0.730 0.329 0.600
Np 0.951 0.284 0.814
O 0.755 0.034 0.064
Li 0.578 0.033 0.795
O 0.341 0.829 0.100
O 0.979 0.641 0.106
Np 0.951 0.784 0.314
O 0.561 0.738 0.529
O 0.147 0.534 0.564

10.
DFT (PBE) results for an optimized crystal structure of Li4Np2O9.

uncorrected energy = -7.485 eV/atom
energy relative to the elements, uncorrected = -2275 meV/atom
M_tot = 0.0 μB per formula unit
V = 358.3 Å³/cell

a = 5.291 Å, b = 5.294 Å, c = 14.767 Å
α = 89.96°, β = 89.99°, γ = 60.03°
Atoms (fractional coordinates):
Li 0.666 0.667 0.808
Li 0.666 0.667 0.010
Li 0.333 0.334 0.692
Li 0.333 0.333 0.490
Li 0.334 0.333 0.192
O 0.289 0.000 0.250
O 0.664 0.022 0.085
O 0.977 0.337 0.415
O 0.000 0.711 0.250
Np 0.000 0.000 0.355
O 0.664 0.314 0.585
O 0.711 0.000 0.750
O 0.336 0.686 0.415
Np 0.000 0.001 0.855
O 0.313 0.023 0.585
O 0.000 0.289 0.750
O 0.023 0.313 0.085
Np 0.000 0.999 0.145
Li 0.667 0.667 0.510
Li 0.334 0.333 0.990
Np 0.000 0.000 0.645
O 0.289 0.712 0.750
O 0.686 0.337 0.915
O 0.023 0.663 0.585
O 0.711 0.288 0.250
O 0.336 0.978 0.915
Li 0.667 0.666 0.308
O 0.977 0.687 0.915
O 0.687 0.977 0.415
O 0.314 0.663 0.085

11.
DFT (PBE) results for an optimized crystal structure of Li2NpO6.

uncorrected energy = -7.082 eV/atom
energy relative to the elements, uncorrected = -1913 meV/atom
M_tot = 2.3 μB per formula unit
V = 268.2 Å³/cell

a = 5.666 Å, b = 6.944 Å, c = 6.944 Å
α = 98.79°, β = 94.39°, γ = 94.39°
Atoms (fractional coordinates):
O 0.627 0.345 0.911
O 0.873 0.089 0.655
Li 0.612 0.619 0.876
O 0.381 0.918 0.835
Li 0.888 0.124 0.381
O 0.881 0.835 0.918
Li 0.388 0.381 0.124
O 0.619 0.082 0.165
O 0.994 0.433 0.427
O 0.006 0.567 0.573
O 0.127 0.911 0.345
Li 0.112 0.876 0.619
Np 0.250 0.905 0.095
O 0.506 0.573 0.567
O 0.119 0.165 0.082
Np 0.750 0.095 0.905
O 0.373 0.655 0.089
O 0.494 0.427 0.433

12.
DFT (PBE) results for an optimized crystal structure of LiNp2O8.

uncorrected energy = -8.269 eV/atom
energy relative to the elements, uncorrected = -2136 meV/atom
M_tot = 0.1 μB per formula unit
V = 203.2 Å³/cell

a = 4.190 Å, b = 6.365 Å, c = 8.362 Å
α = 70.45°, β = 104.22°, γ = 90.89°
Atoms (fractional coordinates):
O 0.888 0.986 0.750
O 0.397 0.683 0.782
O 0.023 0.672 0.042
O 0.977 0.328 0.958
O 0.811 0.558 0.613
Np 0.102 0.320 0.216
O 0.603 0.317 0.218
Li 0.000 0.000 0.000
O 0.189 0.442 0.387
Np 0.898 0.680 0.784
O 0.112 0.014 0.250

13.
DFT (PBE) results for an optimized crystal structure of Li4NpO5.

uncorrected energy = -6.960 eV/atom
energy relative to the elements, uncorrected = -2422 meV/atom
M_tot = 1.0 μB per formula unit
V = 101.2 Å³/cell

a = 5.265 Å, b = 5.265 Å, c = 5.265 Å
α = 100.24°, β = 100.24°, γ = 130.13°
Atoms (fractional coordinates):
O 0.285 0.913 0.198
Li 0.190 0.587 0.776
Li 0.810 0.413 0.224
Li 0.587 0.810 0.397
Li 0.413 0.190 0.603
O 0.500 0.500 0.000
Np 0.000 0.000 0.000
O 0.087 0.285 0.372
O 0.913 0.715 0.628
O 0.715 0.087 0.802

14.
DFT (PBE) results for an optimized crystal structure of Li5Np3O12.

uncorrected energy = -7.699 eV/atom
energy relative to the elements, uncorrected = -2304 meV/atom
M_tot = 2.0 μB per formula unit
V = 861.0 Å³/cell

a = 10.380 Å, b = 10.380 Å, c = 10.380 Å
α = 109.47°, β = 109.47°, γ = 109.47°
Atoms (fractional coordinates):
Li 0.625 0.875 0.250
O 0.781 0.455 0.355
O 0.327 0.781 0.426
Np 0.625 0.375 0.750
Li 0.750 0.125 0.875
O 0.327 0.545 0.401
O 0.426 0.145 0.599
O 0.281 0.426 0.827
O 0.355 0.401 0.074
O 0.574 0.855 0.401
Li 0.375 0.250 0.125
Li 0.250 0.375 0.625
O 0.955 0.599 0.173
Li 0.875 0.250 0.625
O 0.074 0.173 0.219
Li 0.500 0.000 0.500
O 0.574 0.719 0.673
O 0.673 0.455 0.599
O 0.599 0.955 0.673
O 0.827 0.926 0.281
Np 0.875 0.125 0.250
O 0.045 0.645 0.719
O 0.719 0.574 0.173
O 0.855 0.574 0.901
O 0.173 0.099 0.955
O 0.781 0.327 0.926
Li 0.000 0.000 0.500
Np 0.250 0.625 0.875
O 0.074 0.901 0.355
O 0.355 0.955 0.781
Np 0.875 0.750 0.125
Li 0.125 0.750 0.375
O 0.426 0.281 0.327
Li 0.000 0.000 0.000
Np 0.125 0.250 0.875
O 0.281 0.855 0.955
O 0.099 0.173 0.455
Np 0.375 0.625 0.250
Li 0.625 0.750 0.875
O 0.219 0.673 0.074
Li 0.000 0.500 0.000
Li 0.500 0.500 0.000
O 0.045 0.401 0.827
Li 0.500 0.500 0.500
Li 0.375 0.125 0.750
O 0.855 0.281 0.455
O 0.955 0.355 0.281
O 0.401 0.355 0.574
O 0.599 0.645 0.426
Np 0.250 0.125 0.375
Np 0.625 0.250 0.375
Np 0.125 0.875 0.750
O 0.719 0.145 0.045
O 0.901 0.074 0.855
O 0.827 0.901 0.045
Np 0.750 0.375 0.125
O 0.645 0.599 0.926
O 0.455 0.781 0.855
O 0.401 0.045 0.327
O 0.455 0.673 0.099
O 0.545 0.327 0.901
O 0.145 0.719 0.545
Li 0.125 0.375 0.250
O 0.926 0.099 0.645
Li 0.750 0.625 0.375
O 0.901 0.827 0.545
O 0.173 0.074 0.719
Li 0.000 0.500 0.500
O 0.145 0.426 0.099
O 0.219 0.545 0.645
Li 0.250 0.875 0.125
O 0.099 0.926 0.145
Li 0.875 0.625 0.750
Np 0.375 0.750 0.625
O 0.926 0.827 0.781
O 0.545 0.219 0.145
Np 0.750 0.875 0.625
O 0.673 0.219 0.574
O 0.645 0.045 0.219
Li 0.500 0.000 0.000

15.
DFT (PBE) results for an optimized crystal structure of Li2Np2O7.

uncorrected energy = -8.320 eV/atom
energy relative to the elements, uncorrected = -2464 meV/atom
M_tot = 2.0 μB per formula unit
V = 143.0 Å³/cell

a = 5.237 Å, b = 5.334 Å, c = 5.237 Å
α = 97.65°, β = 96.74°, γ = 82.35°
Atoms (fractional coordinates):
O 0.000 0.000 0.000
Np 0.731 0.983 0.269
Np 0.269 0.017 0.731
O 0.461 0.236 0.539
O 0.539 0.764 0.461
O 0.541 0.764 0.957
O 0.043 0.764 0.459
O 0.957 0.236 0.541
Li 0.694 0.500 0.694
O 0.459 0.236 0.043
Li 0.306 0.500 0.306

16.
DFT (PBE) results for an optimized crystal structure of Li3Np4O12.

uncorrected energy = -8.863 eV/atom
energy relative to the elements, uncorrected = -2705 meV/atom
M_tot = 7.0 μB per formula unit
V = 258.1 Å³/cell

a = 6.947 Å, b = 6.947 Å, c = 6.947 Å
α = 109.47°, β = 109.47°, γ = 109.47°
Atoms (fractional coordinates):
Np 0.500 0.500 0.500
O 0.187 0.690 0.876
Li 0.500 0.500 0.000
Np 0.000 0.500 0.000
Np 0.000 0.000 0.500
O 0.813 0.310 0.124
Li 0.500 0.000 0.500
O 0.310 0.497 0.187
O 0.503 0.813 0.690
O 0.690 0.876 0.187
O 0.124 0.813 0.310
O 0.813 0.690 0.503
Np 0.500 0.000 0.000
Li 0.000 0.500 0.500
O 0.690 0.503 0.813
O 0.497 0.187 0.310
O 0.187 0.310 0.497
O 0.876 0.187 0.690
O 0.310 0.124 0.813

17.
DFT (PBE) results for an optimized crystal structure of Li2NpO3.

uncorrected energy = -7.673 eV/atom
energy relative to the elements, uncorrected = -2399 meV/atom
M_tot = 3.0 μB per formula unit
V = 147.0 Å³/cell

a = 3.445 Å, b = 6.355 Å, c = 7.627 Å
α = 112.84°, β = 90.00°, γ = 105.73°
Atoms (fractional coordinates):
O 0.687 0.374 0.108
Np 0.500 0.000 0.000
Li 0.712 0.425 0.870
O 0.630 0.261 0.582
Li 0.194 0.388 0.321
Li 0.288 0.575 0.130
O 0.017 0.035 0.211
O 0.370 0.739 0.418
Li 0.806 0.612 0.679
Np 0.000 0.000 0.500
O 0.983 0.965 0.789
O 0.313 0.626 0.892

18.
DFT (PBE) results for an optimized crystal structure of LiNp4O10.

uncorrected energy = -9.761 eV/atom
energy relative to the elements, uncorrected = -2877 meV/atom
M_tot = 9.0 μB per formula unit
V = 184.8 Å³/cell

a = 5.287 Å, b = 6.476 Å, c = 6.476 Å
α = 80.41°, β = 65.91°, γ = 65.91°
Atoms (fractional coordinates):
Np 0.397 0.807 0.399
O 0.951 0.893 0.690
O 0.641 0.310 0.893
O 0.359 0.690 0.107
Np 0.603 0.193 0.601
O 0.466 0.893 0.690
O 0.843 0.690 0.107
O 0.250 0.500 0.500
O 0.750 0.500 0.500
Np 0.204 0.399 0.193
O 0.049 0.107 0.310
O 0.534 0.107 0.310
Np 0.796 0.601 0.807
Li 0.000 0.000 0.000
O 0.157 0.310 0.893